BeGaP3 | GGA-PBE | optimized geometry

The space group is Pm-3m (No. 221) and the conventional cell measures 4.648, 4.648 and 4.648 Å, with angles of 90.00, 90.00 and 90.00 degrees. The inequivalent atoms are Be at (0.000, 0.000, 0.000), Ga at (0.500, 0.500, 0.500) and P at (0.000, 0.500, 0.500).

The excess energy over the best structure of this formula in the dataset comes out at 725 meV/atom. The energy of formation is 1.36 eV/atom. The magnetization is 0.00 μB/atom.